# CrFeO4

A relaxed CrFeO4 crystal (GGA+U, Alexandria via LeMat-Bulk).

Cell: 10.0116 9.1459 6.8378 Å, 90.00 106.60 90.00°
Closest atoms and distances in Å follow each position.
Space group C2/m (No. 12)
One atom of each set of equivalent atoms:
Cr1 0.0000 0.2408 0.0000 (multiplicity 4)  4 O 1.68-1.81
Cr2 0.2209 0.0000 0.5871 (multiplicity 4)  4 O 1.67-1.84
Fe1 0.0000 0.3177 0.5000 (multiplicity 4)  6 O 1.97-2.16
Fe2 0.2016 0.5000 0.8733 (multiplicity 4)  5 O 1.90-2.07
O1 0.0456 0.3444 0.8032 (multiplicity 8)  1 Cr 1.81, 1 Fe 2.01
O2 0.1379 0.1596 0.5236 (multiplicity 8)  1 Cr 1.67
O3 0.1425 0.5000 0.5445 (multiplicity 4)  1 Cr 1.84
O4 0.1475 0.1489 0.1088 (multiplicity 8)  1 Cr 1.68
O5 0.2071 0.5000 0.1539 (multiplicity 4)  1 Cr 1.71, 1 Fe 1.90

Total moment   4.99 μB/f.u.
V   12.5 A^3/atom
DFT total energy   -6.78 eV/atom